A plane-wave DFT calculation with PBE-GGA was carried out for NaLaMgAl after structural relaxation.

The structure in POSCAR format:
```
NaLaMgAl
1.0
-4.566 -0.464 2.541
-0.308 -2.959 4.320
-0.634 2.263 4.690
Mg Al Na La
1 1 1 1
direct
0.000 0.000 0.000
0.250 0.250 0.250
0.750 0.750 0.750
0.500 0.500 0.500
```

Values from the calculation:
E_form = -0.084 eV per atom
space group = F-43m (216)
total energy = -0.219 Ry/atom

---

A plane-wave DFT calculation with PBE-GGA was carried out for LaMg2AlNi after structural relaxation.

The structure in POSCAR format:
```
LaMg2AlNi
1.0
4.838 0.000 0.000
0.000 4.838 0.000
0.000 0.000 4.662
La Mg Ni Al
1 2 1 1
direct
0.500 0.500 0.500
0.000 0.500 0.000
0.500 0.000 0.000
0.000 0.000 0.000
0.000 0.000 0.500
```

Values from the calculation:
E_form = -0.266 eV per atom
space group = P4/mmm (123)
total energy = -0.279 Ry/atom

---

A plane-wave DFT calculation with PBE-GGA was carried out for La2MgAlNi after structural relaxation.

The structure in POSCAR format:
```
La2MgAlNi
1.0
5.470 0.000 0.000
0.000 5.470 0.000
0.000 0.000 4.632
Ni Mg La Al
1 1 2 1
direct
0.000 0.000 0.000
0.500 0.500 0.500
0.500 0.000 0.000
0.000 0.500 0.000
0.000 0.000 0.500
```

Values from the calculation:
E_form = -0.221 eV per atom
space group = P4/mmm (123)
total energy = -0.325 Ry/atom

---

A plane-wave DFT calculation with PBE-GGA was carried out for LaMgAl11O19 after structural relaxation.

The structure in POSCAR format:
```
LaMgAl11O19
1.0
5.642 0.000 0.000
-2.821 4.886 0.000
0.000 0.000 22.284
Mg O Al La
2 38 22 2
direct
0.667 0.333 0.973
0.333 0.667 0.473
0.181 0.361 0.251
0.148 0.296 0.444
0.507 0.014 0.349
0.296 0.148 0.944
0.014 0.507 0.849
0.493 0.507 0.849
0.496 0.504 0.652
0.852 0.704 0.944
0.992 0.496 0.152
0.667 0.333 0.444
0.852 0.148 0.944
0.639 0.819 0.251
0.507 0.493 0.349
0.181 0.819 0.251
0.000 0.000 0.846
0.843 0.157 0.551
0.333 0.667 0.944
0.504 0.008 0.152
0.504 0.496 0.152
0.819 0.181 0.751
0.000 0.000 0.145
0.000 0.000 0.346
0.496 0.992 0.652
0.686 0.843 0.051
0.000 0.000 0.645
0.493 0.986 0.849
0.819 0.639 0.751
0.333 0.667 0.562
0.986 0.493 0.349
0.157 0.314 0.051
0.361 0.181 0.751
0.008 0.504 0.652
0.667 0.333 0.062
0.843 0.686 0.551
0.148 0.852 0.444
0.704 0.852 0.444
0.157 0.843 0.051
0.314 0.157 0.551
0.333 0.667 0.026
0.663 0.831 0.608
0.831 0.663 0.108
0.169 0.831 0.608
0.000 0.000 0.263
0.000 0.000 0.763
0.333 0.667 0.191
0.337 0.169 0.108
0.000 0.000 0.997
0.831 0.169 0.108
0.833 0.167 0.393
0.667 0.333 0.691
0.167 0.833 0.893
0.334 0.167 0.393
0.169 0.337 0.608
0.667 0.333 0.812
0.666 0.833 0.893
0.167 0.334 0.893
0.333 0.667 0.312
0.833 0.666 0.393
0.000 0.000 0.497
0.667 0.333 0.526
0.667 0.333 0.249
0.333 0.667 0.749
```

Values from the calculation:
ΔE_f (raw) = -3.055 eV per atom
space group = P6_3mc (186)
total energy = -0.550 Ry/atom

---

A plane-wave DFT calculation with PBE-GGA was carried out for La8MgAl7O24 after structural relaxation.

The structure in POSCAR format:
```
La8MgAl7O24
1.0
-2.514 1.966 -6.960
1.451 -7.081 -2.525
-7.085 -2.148 1.952
O Al La Mg
24 7 8 1
direct
0.500 0.500 0.250
0.500 0.250 0.500
0.739 0.000 0.000
0.500 0.748 0.000
0.750 0.500 0.500
0.000 0.252 0.500
0.748 0.500 0.000
0.252 0.000 0.500
0.252 0.500 0.000
0.000 0.000 0.261
0.500 0.000 0.252
0.000 0.500 0.252
0.500 0.000 0.748
0.748 0.000 0.500
0.250 0.500 0.500
0.000 0.748 0.500
0.261 0.000 0.000
0.000 0.739 0.000
0.000 0.000 0.739
0.500 0.252 0.000
0.500 0.750 0.500
0.500 0.500 0.750
0.000 0.500 0.748
0.000 0.261 0.000
0.000 0.500 0.500
0.000 0.500 0.000
0.500 0.500 0.500
0.500 0.500 0.000
0.500 0.000 0.000
0.000 0.000 0.500
0.500 0.000 0.500
0.248 0.752 0.752
0.248 0.248 0.248
0.752 0.248 0.248
0.248 0.752 0.248
0.752 0.752 0.248
0.752 0.248 0.752
0.248 0.248 0.752
0.752 0.752 0.752
0.000 0.000 0.000
```

Values from the calculation:
ΔE_f (raw) = -3.214 eV per atom
space group = Pm-3m (221)
total energy = -0.578 Ry/atom

---

A plane-wave DFT calculation with PBE-GGA was carried out for La2MgAlOs after structural relaxation.

The structure in POSCAR format:
```
La2MgAlOs
1.0
-3.781 -0.407 -4.058
3.299 -3.559 -2.717
-2.121 -3.763 2.354
Al Mg La Os
1 1 2 1
direct
0.000 0.000 0.500
0.500 0.500 0.500
0.000 0.500 0.000
0.500 0.000 0.000
0.000 0.000 0.000
```

Values from the calculation:
E_form = -0.120 eV per atom
space group = P4/mmm (123)
total energy = -0.397 Ry/atom

---

A plane-wave DFT calculation with PBE-GGA was carried out for LaMgAl2Pb after structural relaxation.

The structure in POSCAR format:
```
LaMgAl2Pb
1.0
-4.328 2.424 -2.188
-2.626 -0.607 4.523
1.830 4.809 1.707
Pb Mg Al La
1 1 2 1
direct
0.000 0.000 0.000
0.000 0.500 0.000
0.000 0.000 0.500
0.500 0.000 0.000
0.500 0.500 0.500
```

Values from the calculation:
E_form = 0.490 eV per atom
space group = P4/mmm (123)
total energy = -0.224 Ry/atom

---

A plane-wave DFT calculation with PBE-GGA was carried out for La2MgAl12Pd3 after structural relaxation.

The structure in POSCAR format:
```
La2MgAl12Pd3
1.0
8.789 0.246 0.174
4.554 7.521 0.174
4.554 2.651 7.041
La Pd Al Mg
2 3 12 1
direct
0.602 0.602 0.602
0.398 0.398 0.398
0.000 0.500 0.000
0.000 0.000 0.500
0.500 0.000 0.000
0.130 0.656 0.656
0.482 0.842 0.842
0.656 0.130 0.656
0.518 0.158 0.158
0.344 0.870 0.344
0.656 0.656 0.130
0.344 0.344 0.870
0.870 0.344 0.344
0.158 0.158 0.518
0.842 0.842 0.482
0.842 0.482 0.842
0.158 0.518 0.158
0.000 0.000 0.000
```

Values from the calculation:
E_form = 0.035 eV per atom
space group = R-3m (166)
total energy = -0.291 Ry/atom

---

A plane-wave DFT calculation with PBE-GGA was carried out for LaMgAlPd2 after structural relaxation.

The structure in POSCAR format:
```
LaMgAlPd2
1.0
4.840 0.000 0.000
0.000 4.873 0.000
0.000 0.000 4.840
Pd Al Mg La
2 1 1 1
direct
0.500 0.000 0.000
0.000 0.000 0.500
0.000 0.500 0.000
0.000 0.000 0.000
0.500 0.500 0.500
```

Values from the calculation:
energy above the lowest structure with this stoichiometry = 15.314 kcal/mol of atoms
E_form = -0.078 eV per atom
space group = P4/mmm (123)
total energy = -0.309 Ry/atom

---

A plane-wave DFT calculation with PBE-GGA was carried out for LaMgAlPd after structural relaxation.

The structure in POSCAR format:
```
LaMgAlPd
1.0
-0.599 -1.308 4.789
-0.319 -4.831 1.251
3.747 -2.194 2.481
La Mg Al Pd
1 1 1 1
direct
0.250 0.250 0.250
0.750 0.750 0.750
0.500 0.500 0.500
0.000 0.000 0.000
```

Values from the calculation:
E_form = -0.466 eV per atom
space group = F-43m (216)
total energy = -0.318 Ry/atom

---

- Which formula does entry 1 have?
  NaLaMgAl

---

- Among the records above, which one has the highest total energy?
  NaLaMgAl

---

- total energy of number 7 (LaMgAl2Pb)?
  -0.224 Ry/atom

---

- The highest total energy belongs to which entry?
  NaLaMgAl